A relaxed structure of AsPPd4, computed with PBE.

Summary:
Energy relative to the elements   -0.39 eV per atom
Size of the total moment   0.000 μB/atom

a b c (Å): 6.5265 3.5402 15.9489
angles (deg): 90.00 90.00 90.00
Space group Pnma (No. 62)
Unique sites:
As  0.2375  0.2500  0.1951
P  0.2449  0.7500  0.4418
Pd  0.0074  0.2500  0.0689
Pd  0.0652  0.2500  0.7881
Pd  0.1072  0.2500  0.3491
Pd  0.1361  0.2500  0.5426

***

A relaxed structure of SrZnPH, computed with PBE.

Summary:
Total DFT energy (no corrections)   -3.631 eV/atom
Size of the total moment   0.000 μB/atom

a b c (Å): 4.1325 4.1325 10.1404
angles (deg): 90.00 90.00 120.00
Space group P6_3mc (No. 186)
Unique sites:
Sr  0.3333  0.6667  0.0000
Zn  0.0000  0.0000  0.2482
P  0.3333  0.6667  0.3096
H  0.0000  0.0000  0.0781

***

A relaxed structure of FeBSeN2, computed with PBE.

Summary:
Formation energy from raw total energies   1.29 eV per atom
Size of the total moment   0.000 μB/atom
Excess energy over the best structure of this formula in the dataset   0.168 eV per atom

a b c (Å): 3.4739 3.4739 5.2775
angles (deg): 90.00 90.00 90.00
Space group P4/mmm (No. 123)
Unique sites:
Fe  0.0000  0.0000  0.0000
B  0.5000  0.5000  0.5000
Se  0.0000  0.0000  0.5000
N  0.0000  0.5000  0.0000

***

Question: What is the formula in the second record?
Answer: SrZnPH

***

What did the second record say?
A relaxed structure of SrZnPH, computed with PBE.

Summary:
Total DFT energy (no corrections)   -3.631 eV/atom
Size of the total moment   0.000 μB/atom

a b c (Å): 4.1325 4.1325 10.1404
angles (deg): 90.00 90.00 120.00
Space group P6_3mc (No. 186)
Unique sites:
Sr  0.3333  0.6667  0.0000
Zn  0.0000  0.0000  0.2482
P  0.3333  0.6667  0.3096
H  0.0000  0.0000  0.0781

***

Question: Which value of size of the total moment does entry 3 give?
Answer: 0.000 μB/atom